[1]
VASP calculation (SCAN) on a PBEsol-optimized structure of KRb2Hg2.

a = 10.300 Å, b = 10.300 Å, c = 4.056 Å
α = 90.00°, β = 90.00°, γ = 90.00°
Space group P4/mbm (No. 127)
Asymmetric unit:
K 0.000 0.000 0.000 (multiplicity 2)
Rb 0.136 0.364 0.000 (multiplicity 4)
Hg 0.160 0.660 0.500 (multiplicity 4)

Values from the calculation:
- Energy: -37.386 eV per atom
- Offset from the most stable computed form: 10.3 meV/atom
- Formation enthalpy at 0 K: -0.158 eV/atom
- Fermi-level density of states: 4.4 states/eV/f.u.

[2]
VASP calculation (SCAN) on a PBEsol-optimized structure of KRb3Hg.

a = 7.004 Å, b = 7.004 Å, c = 7.004 Å
α = 90.00°, β = 90.00°, γ = 90.00°
Space group Pm-3m (No. 221)
Asymmetric unit:
K 0.000 0.000 0.000 (multiplicity 1)
Rb 0.000 0.500 0.500 (multiplicity 3)
Hg 0.500 0.500 0.500 (multiplicity 1)

Values from the calculation:
- Energy: -27.839 eV per atom
- Formation enthalpy at 0 K: -0.097 eV/atom
- Fermi-level density of states: 3.5 states/eV/f.u.

[3]
VASP calculation (SCAN) on a PBEsol-optimized structure of KRb2Hg.

a = 11.321 Å, b = 11.321 Å, c = 7.457 Å
α = 90.00°, β = 90.00°, γ = 90.00°
Space group I-42d (No. 122)
Asymmetric unit:
K 0.000 0.000 0.000 (multiplicity 4)
Rb 0.167 0.750 0.625 (multiplicity 8)
Hg 0.000 0.000 0.500 (multiplicity 4)

Values from the calculation:
- Energy: -29.570 eV per atom
- Formation enthalpy at 0 K: -0.077 eV/atom
- Fermi-level density of states: 2.9 states/eV/f.u.

[4]
VASP calculation (SCAN) on a PBEsol-optimized structure of K2RbYHg.

a = 7.255 Å, b = 7.255 Å, c = 7.382 Å
α = 90.00°, β = 90.00°, γ = 90.00°
Space group P4/mmm (No. 123)
Asymmetric unit:
K 0.000 0.500 0.000 (multiplicity 2)
Rb 0.000 0.000 0.500 (multiplicity 1)
Y 0.000 0.000 0.000 (multiplicity 1)
Hg 0.500 0.500 0.500 (multiplicity 1)

Values from the calculation:
- Energy: -25.895 eV per atom
- Formation enthalpy at 0 K: 0.786 eV/atom
- Fermi-level density of states: 4.0 states/eV/f.u.